(1)
The following is a GGA+U calculation of a geometry-optimized In2CoF structure, from Alexandria via LeMat-Bulk.

Values from the calculation:
Total DFT energy (no corrections): -3.2487 eV/atom
E above lowest polymorph: 0.0 meV/atom
M_tot: 0.00 μB per formula unit

Cell: 6.5270 6.5270 6.7831 Å, 90.00 90.00 90.00°
Space group I-42d (No. 122)
One atom of each set of equivalent atoms:
In 0.2368 0.7500 0.1250 [8 per cell]
Co 0.0000 0.0000 0.5000 [4 per cell]
F 0.0000 0.0000 0.0000 [4 per cell]

***

(2)
The following is a GGA+U calculation of a geometry-optimized InCoF5 structure, from Alexandria via LeMat-Bulk.

Values from the calculation:
Total DFT energy (no corrections): -4.7792 eV/atom
M_tot: 3.00 μB per formula unit

Cell: 8.8432 6.6019 7.4301 Å, 90.00 114.05 90.00°
Space group C2/c (No. 15)
One atom of each set of equivalent atoms:
In 0.0000 0.0480 0.2500 [4 per cell]
Co 0.0000 0.5000 0.0000 [4 per cell]
F 0.0000 0.3788 0.2500 [4 per cell]
F 0.0145 0.1861 0.9623 [8 per cell]
F 0.2467 0.4627 0.6329 [8 per cell]

***

(3)
The following is a GGA+U calculation of a geometry-optimized In3CoF structure, from Alexandria via LeMat-Bulk.

Values from the calculation:
Total DFT energy (no corrections): -3.3135 eV/atom
E above lowest polymorph: 0.0 meV/atom
M_tot: 0.00 μB per formula unit

Cell: 4.8761 4.8761 4.8761 Å, 90.00 90.00 90.00°
Space group Pm-3m (No. 221)
One atom of each set of equivalent atoms:
In 0.0000 0.0000 0.5000 [3 per cell]
Co 0.0000 0.0000 0.0000 [1 per cell]
F 0.5000 0.5000 0.5000 [1 per cell]

***

(4)
The following is a GGA+U calculation of a geometry-optimized K2InCoF6 structure, from Alexandria via LeMat-Bulk.

Values from the calculation:
Total DFT energy (no corrections): -4.5060 eV/atom
M_tot: 2.37 μB per formula unit

Cell: 6.0968 8.7657 6.1012 Å, 90.00 90.00 90.00°
Space group Pmmn (No. 59, origin choice 2)
One atom of each set of equivalent atoms:
K 0.2500 0.0003 0.2493 [4 per cell]
In 0.2500 0.2500 0.7490 [2 per cell]
Co 0.2500 0.7500 0.7509 [2 per cell]
F 0.0136 0.7500 0.5154 [4 per cell]
F 0.0140 0.7500 0.9871 [4 per cell]
F 0.2500 0.5074 0.7511 [4 per cell]

***

(5)
The following is a GGA+U calculation of a geometry-optimized LiInCoF6 structure, from Alexandria via LeMat-Bulk.

Values from the calculation:
Total DFT energy (no corrections): -4.8316 eV/atom
M_tot: 3.00 μB per formula unit

Cell: 4.8396 4.8396 9.6458 Å, 90.00 90.00 90.00°
Space group P4_2nm (No. 102)
One atom of each set of equivalent atoms:
Li 0.0000 0.0000 0.0000 [2 per cell]
In 0.0000 0.0000 0.3351 [2 per cell]
Co 0.0000 0.0000 0.6693 [2 per cell]
F 0.1917 0.1917 0.8348 [4 per cell]
F 0.1962 0.1962 0.5047 [4 per cell]
F 0.2005 0.2005 0.1682 [4 per cell]

***

(6)
The following is a GGA+U calculation of a geometry-optimized LiIn2CoF structure, from Alexandria via LeMat-Bulk.

Values from the calculation:
Total DFT energy (no corrections): -3.1136 eV/atom
E above lowest polymorph: 0.0 meV/atom
M_tot: 1.89 μB per formula unit

Cell: 5.1448 5.1448 3.9760 Å, 90.00 90.00 90.00°
Space group P4/mmm (No. 123)
One atom of each set of equivalent atoms:
Li 0.0000 0.0000 0.0000 [1 per cell]
In 0.0000 0.5000 0.5000 [2 per cell]
Co 0.5000 0.5000 0.0000 [1 per cell]
F 0.5000 0.5000 0.5000 [1 per cell]

***

(7)
The following is a GGA+U calculation of a geometry-optimized LiIn2CoF structure, from Alexandria via LeMat-Bulk.

Values from the calculation:
Total DFT energy (no corrections): -2.7255 eV/atom
E above lowest polymorph: 388.1 meV/atom
M_tot: 2.10 μB per formula unit

Cell: 4.9588 4.9588 4.2406 Å, 90.00 90.00 90.00°
Space group P4/mmm (No. 123)
One atom of each set of equivalent atoms:
Li 0.0000 0.0000 0.0000 [1 per cell]
In 0.0000 0.5000 0.0000 [2 per cell]
Co 0.0000 0.0000 0.5000 [1 per cell]
F 0.5000 0.5000 0.5000 [1 per cell]

***

(8)
The following is a GGA+U calculation of a geometry-optimized InCoNiF2 structure, from Alexandria via LeMat-Bulk.

Values from the calculation:
Total DFT energy (no corrections): -3.5492 eV/atom
M_tot: 3.50 μB per formula unit

Cell: 3.8727 3.8727 5.5845 Å, 90.00 90.00 90.00°
Space group P4/mmm (No. 123)
One atom of each set of equivalent atoms:
In 0.0000 0.0000 0.0000 [1 per cell]
Co 0.5000 0.5000 0.0000 [1 per cell]
Ni 0.5000 0.5000 0.5000 [1 per cell]
F 0.0000 0.5000 0.5000 [2 per cell]

***

(9)
The following is a GGA+U calculation of a geometry-optimized InCoOsF2 structure, from Alexandria via LeMat-Bulk.

Values from the calculation:
Total DFT energy (no corrections): -4.8128 eV/atom
M_tot: 4.47 μB per formula unit

Cell: 3.8175 3.8175 7.2615 Å, 90.00 90.00 90.00°
Space group P4/mmm (No. 123)
One atom of each set of equivalent atoms:
In 0.0000 0.0000 0.0000 [1 per cell]
Co 0.0000 0.0000 0.5000 [1 per cell]
Os 0.5000 0.5000 0.0000 [1 per cell]
F 0.0000 0.5000 0.5000 [2 per cell]

***

(10)
The following is a GGA+U calculation of a geometry-optimized RbInCoF6 structure, from Alexandria via LeMat-Bulk.

Values from the calculation:
Total DFT energy (no corrections): -4.7065 eV/atom
M_tot: 3.00 μB per formula unit

Cell: 7.4939 7.8525 10.9381 Å, 90.00 90.00 90.00°
Space group Imma (No. 74)
One atom of each set of equivalent atoms:
Rb 0.0000 0.2500 0.0760 [4 per cell]
In 0.0000 0.0000 0.5000 [4 per cell]
Co 0.2500 0.2500 0.7500 [4 per cell]
F 0.0000 0.2500 0.4210 [4 per cell]
F 0.0000 0.2500 0.8098 [4 per cell]
F 0.2084 0.0612 0.6190 [16 per cell]

***

(11)
The following is a GGA+U calculation of a geometry-optimized RbInCo2F8 structure, from Alexandria via LeMat-Bulk.

Values from the calculation:
Total DFT energy (no corrections): -4.7137 eV/atom
M_tot: 6.00 μB per formula unit

Cell: 4.7742 4.9916 8.5565 Å, 95.08 92.65 92.10°
Space group P-1 (No. 2)
One atom of each set of equivalent atoms:
Rb 0.0000 0.0000 0.0000 [1 per cell]
In 0.0000 0.0000 0.5000 [1 per cell]
Co 0.4911 0.5388 0.6904 [2 per cell]
F 0.1544 0.2271 0.3280 [2 per cell]
F 0.2018 0.2381 0.6903 [2 per cell]
F 0.3357 0.7167 0.4898 [2 per cell]
F 0.4415 0.7162 0.8864 [2 per cell]

***

(12)
The following is a GGA+U calculation of a geometry-optimized InCoS2F structure, from Alexandria via LeMat-Bulk.

Values from the calculation:
Total DFT energy (no corrections): -4.0747 eV/atom
M_tot: 0.88 μB per formula unit

Cell: 4.6457 4.6457 3.8598 Å, 90.00 90.00 90.00°
Space group P4/mmm (No. 123)
One atom of each set of equivalent atoms:
In 0.0000 0.0000 0.0000 [1 per cell]
Co 0.5000 0.5000 0.5000 [1 per cell]
S 0.0000 0.5000 0.5000 [2 per cell]
F 0.5000 0.5000 0.0000 [1 per cell]

***

(13)
The following is a GGA+U calculation of a geometry-optimized TaIn2CoF structure, from Alexandria via LeMat-Bulk.

Values from the calculation:
Total DFT energy (no corrections): -4.7838 eV/atom
M_tot: 1.94 μB per formula unit

Cell: 4.6989 4.6989 4.0294 Å, 90.00 90.00 90.00°
Space group P4/mmm (No. 123)
One atom of each set of equivalent atoms:
Ta 0.0000 0.0000 0.0000 [1 per cell]
In 0.0000 0.5000 0.5000 [2 per cell]
Co 0.5000 0.5000 0.0000 [1 per cell]
F 0.5000 0.5000 0.5000 [1 per cell]

***

(14)
The following is a GGA+U calculation of a geometry-optimized TlInCoF6 structure, from Alexandria via LeMat-Bulk.

Values from the calculation:
Total DFT energy (no corrections): -4.6268 eV/atom
M_tot: 3.00 μB per formula unit

Cell: 7.5260 7.8874 10.9913 Å, 90.00 90.00 90.00°
Space group Imma (No. 74)
One atom of each set of equivalent atoms:
Tl 0.0000 0.2500 0.0468 [4 per cell]
In 0.0000 0.0000 0.5000 [4 per cell]
Co 0.2500 0.2500 0.7500 [4 per cell]
F 0.0000 0.2500 0.4243 [4 per cell]
F 0.0000 0.2500 0.8112 [4 per cell]
F 0.2079 0.0670 0.6173 [16 per cell]

***

(15)
The following is a GGA+U calculation of a geometry-optimized Tl2InCoF6 structure, from Alexandria via LeMat-Bulk.

Values from the calculation:
Total DFT energy (no corrections): -4.3496 eV/atom
M_tot: 1.98 μB per formula unit

Cell: 6.1790 8.7453 6.2098 Å, 90.00 90.00 90.00°
Space group Pmmn (No. 59, origin choice 2)
One atom of each set of equivalent atoms:
Tl 0.2500 0.0031 0.2504 [4 per cell]
In 0.2500 0.2500 0.7503 [2 per cell]
Co 0.2500 0.7500 0.7498 [2 per cell]
F 0.0094 0.7500 0.5155 [4 per cell]
F 0.0094 0.7500 0.9839 [4 per cell]
F 0.2500 0.5142 0.7492 [4 per cell]

***

(16)
The following is a GGA+U calculation of a geometry-optimized TlInCo2F8 structure, from Alexandria via LeMat-Bulk.

Values from the calculation:
Total DFT energy (no corrections): -4.6765 eV/atom
M_tot: 6.00 μB per formula unit

Cell: 5.1850 5.2698 7.5881 Å, 77.77 78.26 77.47°
Space group P-1 (No. 2)
One atom of each set of equivalent atoms:
Tl 0.0000 0.0000 0.0000 [1 per cell]
In 0.0000 0.0000 0.5000 [1 per cell]
Co 0.4488 0.4500 0.2220 [2 per cell]
F 0.1932 0.7396 0.7101 [2 per cell]
F 0.2533 0.7967 0.2952 [2 per cell]
F 0.2691 0.2566 0.4524 [2 per cell]
F 0.3516 0.3366 0.0136 [2 per cell]

***

(17)
The following is a GGA+U calculation of a geometry-optimized TlInCoF2 structure, from Alexandria via LeMat-Bulk.

Values from the calculation:
Total DFT energy (no corrections): -3.7407 eV/atom
M_tot: 2.35 μB per formula unit

Cell: 4.1809 4.1809 5.6063 Å, 90.00 90.00 90.00°
Space group P4/mmm (No. 123)
One atom of each set of equivalent atoms:
Tl 0.0000 0.0000 0.0000 [1 per cell]
In 0.5000 0.5000 0.0000 [1 per cell]
Co 0.5000 0.5000 0.5000 [1 per cell]
F 0.0000 0.5000 0.5000 [2 per cell]

***

(18)
The following is a GGA+U calculation of a geometry-optimized InCoWF2 structure, from Alexandria via LeMat-Bulk.

Values from the calculation:
Total DFT energy (no corrections): -4.0366 eV/atom
M_tot: 5.99 μB per formula unit

Cell: 4.0512 4.0512 5.7796 Å, 90.00 90.00 90.00°
Space group P4/mmm (No. 123)
One atom of each set of equivalent atoms:
In 0.0000 0.0000 0.0000 [1 per cell]
Co 0.0000 0.0000 0.5000 [1 per cell]
W 0.5000 0.5000 0.0000 [1 per cell]
F 0.0000 0.5000 0.5000 [2 per cell]

***

(19)
The following is a GGA+U calculation of a geometry-optimized CoIr2F11 structure, from Alexandria via LeMat-Bulk.

Values from the calculation:
Total DFT energy (no corrections): -4.5756 eV/atom
M_tot: 6.02 μB per formula unit

Cell: 8.4121 9.4373 10.2787 Å, 90.00 90.00 90.00°
Space group Ibam (No. 72)
One atom of each set of equivalent atoms:
Co 0.0000 0.0000 0.2500 [4 per cell]
Ir 0.1822 0.3576 0.0000 [8 per cell]
F 0.0000 0.5000 0.0000 [4 per cell]
F 0.0766 0.2602 0.1373 [16 per cell]
F 0.1709 0.2905 0.5000 [8 per cell]
F 0.1842 0.0423 0.3687 [16 per cell]

***

(20)
The following is a GGA+U calculation of a geometry-optimized CoIrF2 structure, from Alexandria via LeMat-Bulk.

Values from the calculation:
Total DFT energy (no corrections): -5.1602 eV/atom
E above lowest polymorph: 0.0 meV/atom
M_tot: 2.25 μB per formula unit

Cell: 2.7679 2.7679 21.3067 Å, 90.00 90.00 120.00°
Space group R-3m (No. 166, hexagonal axes)
One atom of each set of equivalent atoms:
Co 0.0000 0.0000 0.0000 [3 per cell]
Ir 0.0000 0.0000 0.5000 [3 per cell]
F 0.0000 0.0000 0.4019 [6 per cell]